<i>
Material: TaBeSb
Method: DFT, PBE
State: relaxed

Unit cell a=7.5315 b=7.4617 c=2.9539 alpha=79.97 beta=77.31 gamma=22.72
Atoms (fractional coordinates):
Sb: 0.3071 0.3071 0.6929
Ta: 0.6498 0.6498 0.3502
Be: 0.0431 0.0431 0.9569

Properties
Density = 8.299 Mg/m³
Symmetry = Fmm2, No. 42

***

<ii>
Material: TaBeSb
Method: DFT, PBE
State: relaxed

Unit cell a=5.1051 b=5.1051 c=5.1051 alpha=141.61 beta=141.61 gamma=55.42
Atoms (fractional coordinates):
Be: 0.0211 0.0211 0.0000
Sb: 0.3323 0.3323 0.0000
Ta: 0.6468 0.6468 0.0000

Properties
Density = 10.162 Mg/m³
Symmetry = I4mm, No. 107

***

<iii>
Material: TaBeSb
Method: DFT, PBE
State: relaxed

Unit cell a=3.0842 b=3.0842 c=6.5330 alpha=90.00 beta=90.00 gamma=120.00
Atoms (fractional coordinates):
Sb: 0.6667 0.3333 0.3212
Be: 0.0000 0.0000 0.9873
Ta: 0.3333 0.6667 0.6915

Properties
Density = 9.618 Mg/m³
Symmetry = P3m1, No. 156

***

Ordering by calculated energy gives the sequence <ii>, <i>, <iii>, with the first entry being the most stable.

***

<i>
Material: TaBeSb3
Method: DFT, PBE
State: relaxed

Unit cell a=4.8228 b=4.8228 c=4.8228 alpha=90.00 beta=90.00 gamma=90.00
Atoms (fractional coordinates):
Be: 0.0000 0.0000 0.0000
Sb: 0.0000 0.5000 0.0000
Sb: 0.5000 0.0000 0.0000
Sb: 0.0000 0.0000 0.5000
Ta: 0.5000 0.5000 0.5000

Properties
Density = 8.219 Mg/m³
Symmetry = Pm-3m, No. 221

***

<ii>
Material: TaBeSb3
Method: DFT, PBE
State: relaxed

Unit cell a=5.3435 b=5.3435 c=5.3435 alpha=90.00 beta=90.00 gamma=90.00
Atoms (fractional coordinates):
Be: 0.5000 0.5000 0.5000
Ta: 0.0000 0.0000 0.0000
Sb: 0.0000 0.0000 0.5000
Sb: 0.0000 0.5000 0.0000
Sb: 0.5000 0.0000 0.0000

Properties
Density = 6.043 Mg/m³
Symmetry = Pm-3m, No. 221

***

Ordering by calculated energy gives the sequence <ii>, <i>, with the first entry being the most stable.

***

<i>
Material: TaBeSbTe2
Method: DFT, PBE
State: relaxed

Unit cell a=5.3653 b=5.3653 c=5.4728 alpha=90.00 beta=90.00 gamma=90.00
Atoms (fractional coordinates):
Sb: 0.0000 0.0000 0.5000
Te: 0.5000 0.0000 0.0000
Te: 0.0000 0.5000 0.0000
Ta: 0.0000 0.0000 0.0000
Be: 0.5000 0.5000 0.5000

Properties
Density = 5.976 Mg/m³
Symmetry = P4/mmm, No. 123

***

<ii>
Material: TaBeSbTe2
Method: DFT, PBE
State: relaxed

Unit cell a=4.9485 b=4.9485 c=4.6744 alpha=90.00 beta=90.00 gamma=90.00
Atoms (fractional coordinates):
Sb: 0.0000 0.0000 0.5000
Te: 0.0000 0.5000 0.0000
Ta: 0.5000 0.5000 0.5000
Be: 0.0000 0.0000 0.0000
Te: 0.5000 0.0000 0.0000

Properties
Density = 8.224 Mg/m³
Symmetry = P4/mmm, No. 123

***

Ordering by calculated energy gives the sequence <i>, <ii>, with the first entry being the most stable.